[1]
## Cd13Sn3 (GGA-PBE)

Data for a relaxed structure of Cd13Sn3. Values from VASP.

Geometry as Quantum ESPRESSO input:
```
&SYSTEM
  ibrav = 0, nat = 16, ntyp = 2
/
ATOMIC_SPECIES
Cd 112.41 Cd.upf
Sn 118.71 Sn.upf
ATOMIC_POSITIONS angstrom
Cd 0.000 0.000 0.000
Cd 0.000 -2.794 3.657
Cd 0.000 0.000 5.328
Cd 0.000 2.794 3.657
Cd 1.679 -2.656 6.217
Cd 1.679 2.656 6.217
Cd 1.688 0.000 7.823
Cd 3.402 -2.701 3.621
Cd 3.402 0.000 5.293
Cd 3.402 2.701 3.621
Cd 5.116 0.000 7.823
Cd 5.124 -2.656 6.217
Cd 5.124 2.656 6.217
Sn 1.617 0.000 2.652
Sn 3.402 0.000 0.036
Sn 5.186 0.000 2.652
CELL_PARAMETERS angstrom
6.804 0.000 0.000
0.000 5.475 5.178
0.000 -5.475 5.178
```

Values from the calculation:
- Final energy: -23.13 eV for the cell shown
- Density of states at the Fermi level: 6.63 states/eV/cell
- ΔE_f: 5 kJ/mol of atoms

---

[2]
## DyZn3Rh3 (GGA-PBE)

Data for a relaxed structure of DyZn3Rh3. Values from VASP.

Geometry as Quantum ESPRESSO input:
```
&SYSTEM
  ibrav = 0, nat = 14, ntyp = 3
/
ATOMIC_SPECIES
Dy 162.50 Dy.upf
Zn 65.41 Zn.upf
Rh 102.91 Rh.upf
ATOMIC_POSITIONS angstrom
Dy 0.000 0.000 0.000
Dy 3.332 3.332 3.332
Zn 0.000 1.666 3.332
Zn 0.000 4.998 3.332
Zn 1.666 3.332 0.000
Zn 3.332 0.000 1.666
Zn 3.332 0.000 4.998
Zn 4.998 3.332 0.000
Rh 0.000 3.332 1.666
Rh 0.000 3.332 4.998
Rh 1.666 0.000 3.332
Rh 3.332 1.666 0.000
Rh 3.332 4.998 0.000
Rh 4.998 0.000 3.332
CELL_PARAMETERS angstrom
6.664 0.000 0.000
0.000 6.664 0.000
0.000 0.000 6.664
```

Values from the calculation:
- Final energy: -57.79 eV for the cell shown
- Density of states at the Fermi level: 5.30 states/eV/cell
- ΔE_f: 22 kJ/mol of atoms

---

[3]
## KTa2In (GGA-PBE)

Data for a relaxed structure of KTa2In. Values from VASP.

Geometry as Quantum ESPRESSO input:
```
&SYSTEM
  ibrav = 0, nat = 8, ntyp = 3
/
ATOMIC_SPECIES
K 39.10 K.upf
Ta 180.95 Ta.upf
In 114.82 In.upf
ATOMIC_POSITIONS angstrom
K 0.000 0.000 0.000
K 1.697 2.362 0.000
Ta 0.000 2.362 3.282
Ta 0.000 2.362 8.160
Ta 1.697 0.000 3.282
Ta 1.697 0.000 8.160
In 0.000 0.000 5.721
In 1.697 2.362 5.721
CELL_PARAMETERS angstrom
3.394 0.000 0.000
0.000 4.724 0.000
0.000 0.000 11.443
```

Values from the calculation:
- Final energy: -48.56 eV for the cell shown
- Density of states at the Fermi level: 6.51 states/eV/cell
- ΔE_f: 79 kJ/mol of atoms

---

- Which value of density of states at the Fermi level does entry 2 give?
  5.30 states/eV/cell

---

- Look up the density of states at the Fermi level of the second one.
  5.30 states/eV/cell

---

- Number 3 is which compound?
  KTa2In

---

- The highest ΔE_f belongs to which entry?
  KTa2In